1.
Here is crystalline HfTe2C at its relaxed geometry from the Alexandria database. Energies are from PBE-GGA.

Unit cell a=6.174 b=6.174 c=6.775 alpha=62.89 beta=62.89 gamma=90.00
Positions (direct):
C  0.500  0.500  0.000
C  0.250  0.750  0.500
Te  0.875  0.809  0.750
Te  0.559  0.125  0.250
Te  0.191  0.625  0.250
Te  0.375  0.441  0.750
Hf  0.000  0.000  0.000
Hf  0.750  0.250  0.500

SG: I-42d
N(E_F): 3.9 states/eV/f.u.
crystal system: tetragonal
magnetic moment: 0.00 μB/f.u.
formation energy without anion corrections: 0.9821 eV per atom
E: -43.06 eV per cell

---

2.
Here is crystalline Y2HfTeC at its relaxed geometry from the Alexandria database. Energies are from PBE-GGA.

Unit cell a=5.012 b=4.402 c=5.012 alpha=90.00 beta=90.00 gamma=90.00
Positions (direct):
C  0.000  0.000  0.000
Y  0.500  0.000  0.000
Y  0.000  0.000  0.500
Te  0.500  0.500  0.500
Hf  0.000  0.500  0.000

SG: P4/mmm
N(E_F): 3.7 states/eV/f.u.
crystal system: tetragonal
magnetic moment: 0.00 μB/f.u.
formation energy without anion corrections: -0.4723 eV per atom
E: -37.61 eV per cell

---

3.
Here is crystalline HfZrTeC at its relaxed geometry from the Alexandria database. Energies are from PBE-GGA.

Unit cell a=3.529 b=3.530 c=6.971 alpha=90.00 beta=104.68 gamma=120.01
Positions (direct):
Te  0.967  0.382  0.364
C  0.311  0.553  0.880
Hf  0.085  0.940  0.040
Zr  0.515  0.155  0.685

SG: R3m
N(E_F): 0.7 states/eV/f.u.
crystal system: trigonal
magnetic moment: 0.00 μB/f.u.
formation energy without anion corrections: -0.8638 eV per atom
E: -34.32 eV per cell

---

4.
Here is crystalline Hf2ThC at its relaxed geometry from the Alexandria database. Energies are from PBE-GGA.

Unit cell a=3.283 b=3.283 c=9.200 alpha=79.72 beta=79.72 gamma=60.00
Positions (direct):
Th  0.000  0.000  0.000
C  0.500  0.500  0.500
Hf  0.879  0.879  0.363
Hf  0.121  0.121  0.637

SG: R-3m
E_form: -0.277 eV per atom
N(E_F): 2.3 states/eV/f.u.
crystal system: trigonal
magnetic moment: 0.00 μB/f.u.
E: -37.66 eV per cell